Entry 1:
DFT (GGA-PBE) results for a relaxed structure of BaTl6Hg23.

Properties
- Calculated formation energy: -0.046 eV/atom
- Spin magnetization: 0.000 Bohr magnetons per cell
- Crystal system: cubic

Cell: 10.710 10.710 10.710 Å, 60.00 60.00 60.00°
Positions (direct):
Hg 0.633 0.633 0.101
Tl 0.776 0.224 0.776
Hg 0.367 0.899 0.367
Hg 0.367 0.367 0.367
Tl 0.224 0.776 0.776
Hg 0.145 0.564 0.145
Hg 0.000 0.500 0.000
Hg 0.500 0.000 0.500
Hg 0.367 0.367 0.899
Hg 0.145 0.145 0.564
Hg 0.500 0.000 0.000
Hg 0.000 0.000 0.500
Tl 0.224 0.224 0.776
Tl 0.776 0.776 0.224
Hg 0.101 0.633 0.633
Hg 0.436 0.855 0.855
Hg 0.000 0.500 0.500
Hg 0.855 0.855 0.855
Ba 0.500 0.500 0.500
Hg 0.633 0.633 0.633
Hg 0.855 0.855 0.436
Tl 0.776 0.224 0.224
Hg 0.899 0.367 0.367
Tl 0.224 0.776 0.224
Hg 0.633 0.101 0.633
Hg 0.564 0.145 0.145
Hg 0.145 0.145 0.145
Hg 0.500 0.500 0.000
Hg 0.855 0.436 0.855
Hg 0.000 0.000 0.000


Entry 2:
DFT (GGA-PBE) results for a relaxed structure of KCdSiHg2.

Properties
- Spin magnetization: 0.000 Bohr magnetons per cell
- Crystal system: tetragonal
- ΔE_f (raw): 101 meV per atom

Cell: 5.457 5.457 5.151 Å, 90.00 90.00 90.00°
Positions (direct):
Hg 0.000 0.500 0.000
Hg 0.500 0.000 0.000
Si 0.000 0.000 0.000
K 0.500 0.500 0.500
Cd 0.000 0.000 0.500


Entry 3:
DFT (GGA-PBE) results for a relaxed structure of SmCu2PdAu5.

Properties
- Calculated formation energy: -0.124 eV/atom
- Spin magnetization: 0.000 Bohr magnetons per cell
- Crystal system: tetragonal

Cell: 4.845 4.845 7.335 Å, 90.00 90.00 90.00°
Positions (direct):
Au 0.500 0.000 0.770
Cu 0.500 0.500 0.845
Au 0.000 0.500 0.230
Au 0.500 0.000 0.230
Pd 0.000 0.000 0.000
Au 0.500 0.500 0.500
Cu 0.500 0.500 0.155
Au 0.000 0.500 0.770
Sm 0.000 0.000 0.500